{"formula": "ScCuAu", "functional": "meta-GGA SCAN", "state": "single point on PBEsol structure", "dos_at_fermi_per_ev_cell": 1.8, "formation_energy_kj_per_mol_fu": -205, "volume_a3_per_atom": 16.2, "cell": [[3.4005, 0.0000, 0.0000], [0.0000, 3.4005, 0.0000], [0.0000, 0.0000, 8.4192]], "species": ["Sc", "Sc", "Cu", "Cu", "Au", "Au"], "frac_coords": [[0.0000, 0.0000, 0.0000], [0.5000, 0.5000, 0.5000], [0.0000, 0.0000, 0.3335], [0.5000, 0.5000, 0.8335], [0.0000, 0.0000, 0.6689], [0.5000, 0.5000, 0.1689]]}


{"formula": "ScCuAu3", "functional": "meta-GGA SCAN", "state": "single point on PBEsol structure", "dos_at_fermi_per_ev_cell": 1.6, "formation_energy_kj_per_mol_fu": 343, "volume_a3_per_atom": 24.6, "cell": [[4.9731, 0.0000, 0.0000], [0.0000, 4.9731, 0.0000], [0.0000, 0.0000, 4.9731]], "species": ["Sc", "Cu", "Au", "Au", "Au"], "frac_coords": [[0.0000, 0.0000, 0.0000], [0.5000, 0.5000, 0.5000], [0.0000, 0.0000, 0.5000], [0.0000, 0.5000, 0.0000], [0.5000, 0.0000, 0.0000]]}


{"formula": "CuAuSe2", "functional": "meta-GGA SCAN", "state": "single point on PBEsol structure", "dos_at_fermi_per_ev_cell": 1.8, "final_energy_ev_per_atom": -31.227, "volume_a3_per_atom": 19.5, "cell": [[7.4884, 0.0000, 0.0000], [0.0000, 3.5780, 0.0000], [-2.0524, 0.0000, 5.8268]], "species": ["Cu", "Cu", "Au", "Au", "Se", "Se", "Se", "Se"], "frac_coords": [[0.0000, 0.0000, 0.0000], [0.5000, 0.5000, 0.0000], [0.0000, 0.5000, 0.5000], [0.5000, 0.0000, 0.5000], [0.1732, 0.5000, 0.2247], [0.3268, 0.0000, 0.7753], [0.6732, 0.0000, 0.2247], [0.8268, 0.5000, 0.7753]]}


{"formula": "CuAuSe2", "functional": "meta-GGA SCAN", "state": "single point on PBEsol structure", "dos_at_fermi_per_ev_cell": 11.2, "final_energy_ev_per_atom": -31.159, "volume_a3_per_atom": 22.0, "cell": [[5.6482, 0.0000, 0.0000], [0.0000, 5.6482, 0.0000], [0.0000, 0.0000, 11.0170]], "species": ["Cu", "Cu", "Cu", "Cu", "Au", "Au", "Au", "Au", "Se", "Se", "Se", "Se", "Se", "Se", "Se", "Se"], "frac_coords": [[0.0000, 0.0000, 0.0000], [0.0000, 0.5000, 0.2500], [0.5000, 0.0000, 0.7500], [0.5000, 0.5000, 0.5000], [0.0000, 0.0000, 0.5000], [0.0000, 0.5000, 0.7500], [0.5000, 0.0000, 0.2500], [0.5000, 0.5000, 0.0000], [0.2225, 0.2500, 0.1250], [0.2500, 0.7225, 0.3750], [0.2500, 0.7775, 0.8750], [0.2775, 0.2500, 0.6250], [0.7225, 0.7500, 0.6250], [0.7500, 0.2225, 0.8750], [0.7500, 0.2775, 0.3750], [0.7775, 0.7500, 0.1250]]}


{"formula": "Cu2AuSe", "functional": "meta-GGA SCAN", "state": "single point on PBEsol structure", "dos_at_fermi_per_ev_cell": 5.9, "final_energy_ev_per_atom": -29.587, "volume_a3_per_atom": 15.1, "cell": [[6.2343, 0.0000, 0.0000], [0.0000, 6.2343, 0.0000], [0.0000, 0.0000, 6.2343]], "species": ["Cu", "Cu", "Cu", "Cu", "Cu", "Cu", "Cu", "Cu", "Au", "Au", "Au", "Au", "Se", "Se", "Se", "Se"], "frac_coords": [[0.0000, 0.0000, 0.0000], [0.0000, 0.5000, 0.5000], [0.2500, 0.2500, 0.2500], [0.2500, 0.7500, 0.7500], [0.5000, 0.0000, 0.5000], [0.5000, 0.5000, 0.0000], [0.7500, 0.2500, 0.7500], [0.7500, 0.7500, 0.2500], [0.0000, 0.0000, 0.5000], [0.0000, 0.5000, 0.0000], [0.5000, 0.0000, 0.0000], [0.5000, 0.5000, 0.5000], [0.2500, 0.2500, 0.7500], [0.2500, 0.7500, 0.2500], [0.7500, 0.2500, 0.2500], [0.7500, 0.7500, 0.7500]]}


{"formula": "CuAu3Se", "functional": "meta-GGA SCAN", "state": "single point on PBEsol structure", "dos_at_fermi_per_ev_cell": 1.5, "final_energy_ev_per_atom": -47.831, "volume_a3_per_atom": 20.3, "cell": [[4.6611, 0.0000, 0.0000], [0.0000, 4.6611, 0.0000], [0.0000, 0.0000, 4.6611]], "species": ["Cu", "Au", "Au", "Au", "Se"], "frac_coords": [[0.0000, 0.0000, 0.0000], [0.0000, 0.0000, 0.5000], [0.0000, 0.5000, 0.0000], [0.5000, 0.0000, 0.0000], [0.5000, 0.5000, 0.5000]]}


{"formula": "CuAuSe2", "functional": "meta-GGA SCAN", "state": "single point on PBEsol structure", "dos_at_fermi_per_ev_cell": 2.4, "final_energy_ev_per_atom": -31.051, "volume_a3_per_atom": 18.5, "cell": [[5.1580, 0.0000, 0.0000], [0.0000, 5.1580, 0.0000], [0.0000, 0.0000, 5.5601]], "species": ["Cu", "Cu", "Au", "Au", "Se", "Se", "Se", "Se"], "frac_coords": [[0.0000, 0.0000, 0.0000], [0.5000, 0.5000, 0.5000], [0.0000, 0.0000, 0.5000], [0.5000, 0.5000, 0.0000], [0.0000, 0.5000, 0.0000], [0.0000, 0.5000, 0.5000], [0.5000, 0.0000, 0.0000], [0.5000, 0.0000, 0.5000]]}


{"formula": "Cu2AuSe", "functional": "meta-GGA SCAN", "state": "single point on PBEsol structure", "dos_at_fermi_per_ev_cell": 3.4, "final_energy_ev_per_atom": -29.695, "volume_a3_per_atom": 15.3, "cell": [[2.8132, 0.0000, 0.0000], [-1.4066, 2.4363, 0.0000], [0.0000, 0.0000, 26.7613]], "species": ["Cu", "Cu", "Cu", "Cu", "Cu", "Cu", "Au", "Au", "Au", "Se", "Se", "Se"], "frac_coords": [[0.0000, 0.0000, 0.0000], [0.0000, 0.0000, 0.2633], [0.3333, 0.6667, 0.6667], [0.3333, 0.6667, 0.9300], [0.6667, 0.3333, 0.3333], [0.6667, 0.3333, 0.5967], [0.0000, 0.0000, 0.7456], [0.3333, 0.6667, 0.4122], [0.6667, 0.3333, 0.0789], [0.0000, 0.0000, 0.5217], [0.3333, 0.6667, 0.1884], [0.6667, 0.3333, 0.8551]]}


{"formula": "Cu2AuSe", "functional": "meta-GGA SCAN", "state": "single point on PBEsol structure", "dos_at_fermi_per_ev_cell": 1.4, "final_energy_ev_per_atom": -29.816, "volume_a3_per_atom": 15.5, "cell": [[2.8377, 0.0000, 0.0000], [0.0000, 4.3364, 0.0000], [-1.0437, 0.0000, 5.0463]], "species": ["Cu", "Cu", "Au", "Se"], "frac_coords": [[0.0000, 0.0000, 0.0000], [0.1049, 0.5000, 0.3029], [0.6602, 0.0000, 0.4359], [0.9941, 0.5000, 0.8063]]}


{"formula": "Cu2AuSe", "functional": "meta-GGA SCAN", "state": "single point on PBEsol structure", "dos_at_fermi_per_ev_cell": 2.4, "final_energy_ev_per_atom": -29.727, "volume_a3_per_atom": 15.4, "cell": [[3.8221, 0.0000, 0.0000], [0.0000, 3.9240, 0.0000], [0.0000, 0.0000, 8.2063]], "species": ["Cu", "Cu", "Cu", "Cu", "Au", "Au", "Se", "Se"], "frac_coords": [[0.0000, 0.0000, 0.0000], [0.0000, 0.5000, 0.1981], [0.5000, 0.0000, 0.1981], [0.5000, 0.5000, 0.0000], [0.0000, 0.5000, 0.7746], [0.5000, 0.0000, 0.7746], [0.0000, 0.0000, 0.4309], [0.5000, 0.5000, 0.4309]]}


{"formula": "Cu3AuSe", "functional": "meta-GGA SCAN", "state": "single point on PBEsol structure", "dos_at_fermi_per_ev_cell": 1.4, "final_energy_ev_per_atom": -26.171, "volume_a3_per_atom": 20.1, "cell": [[4.6481, 0.0000, 0.0000], [0.0000, 4.6481, 0.0000], [0.0000, 0.0000, 4.6481]], "species": ["Cu", "Cu", "Cu", "Au", "Se"], "frac_coords": [[0.0000, 0.0000, 0.5000], [0.0000, 0.5000, 0.0000], [0.5000, 0.0000, 0.0000], [0.0000, 0.0000, 0.0000], [0.5000, 0.5000, 0.5000]]}


{"formula": "CuSi4Au", "functional": "meta-GGA SCAN", "state": "single point on PBEsol structure", "dos_at_fermi_per_ev_cell": 2.7, "final_energy_ev_per_atom": -20.039, "volume_a3_per_atom": 15.1, "cell": [[0.0000, 3.5616, 3.5616], [3.5616, 0.0000, 3.5616], [3.5616, 3.5616, 0.0000]], "species": ["Cu", "Si", "Si", "Si", "Si", "Au"], "frac_coords": [[0.0000, 0.0000, 0.0000], [0.3744, 0.3744, 0.3744], [0.3744, 0.3744, 0.8769], [0.3744, 0.8769, 0.3744], [0.8769, 0.3744, 0.3744], [0.7500, 0.7500, 0.7500]]}